First-principles (GGA-PBE) data for crystalline Ni5Ir4Os2 at its relaxed geometry, as listed in Alexandria.

a b c (Å): 2.673 6.834 8.276
angles (deg): 88.15 80.71 78.74
Space group P-1 (No. 2)
Inequivalent atoms, fractional coordinates:
1 Ni 0.000 0.000 0.000
2 Ni 0.224 0.639 0.914
3 Ni 0.355 0.808 0.482
4 Ir 0.317 0.107 0.260
5 Ir 0.455 0.262 0.827
6 Os 0.083 0.486 0.348

Output
DOS at the Fermi energy	17.56	states/eV/f.u.
VASP energy	-85.2	eV/cell
ΔE_f	0.15	eV per atom


First-principles (GGA-PBE) data for crystalline CdMo2Se at its relaxed geometry, as listed in Alexandria.

a b c (Å): 3.129 4.779 9.354
angles (deg): 90.00 90.00 90.00
Space group Immm (No. 71)
Inequivalent atoms, fractional coordinates:
1 Cd 0.000 0.000 0.000
2 Mo 0.000 0.500 0.218
3 Se 0.000 0.000 0.500

Output
DOS at the Fermi energy	4.42	states/eV/f.u.
VASP energy	-48.1	eV/cell
energy relative to the elements, uncorrected	48	kJ/mol of atoms


Please write out number 1 again, unchanged.
First-principles (GGA-PBE) data for crystalline Ni5Ir4Os2 at its relaxed geometry, as listed in Alexandria.

a b c (Å): 2.673 6.834 8.276
angles (deg): 88.15 80.71 78.74
Space group P-1 (No. 2)
Inequivalent atoms, fractional coordinates:
1 Ni 0.000 0.000 0.000
2 Ni 0.224 0.639 0.914
3 Ni 0.355 0.808 0.482
4 Ir 0.317 0.107 0.260
5 Ir 0.455 0.262 0.827
6 Os 0.083 0.486 0.348

Output
DOS at the Fermi energy	17.56	states/eV/f.u.
VASP energy	-85.2	eV/cell
ΔE_f	0.15	eV per atom


- The lowest VASP energy belongs to which entry?
  Ni5Ir4Os2


Please write out number 1 again, unchanged.
First-principles (GGA-PBE) data for crystalline Ni5Ir4Os2 at its relaxed geometry, as listed in Alexandria.

a b c (Å): 2.673 6.834 8.276
angles (deg): 88.15 80.71 78.74
Space group P-1 (No. 2)
Inequivalent atoms, fractional coordinates:
1 Ni 0.000 0.000 0.000
2 Ni 0.224 0.639 0.914
3 Ni 0.355 0.808 0.482
4 Ir 0.317 0.107 0.260
5 Ir 0.455 0.262 0.827
6 Os 0.083 0.486 0.348

Output
DOS at the Fermi energy	17.56	states/eV/f.u.
VASP energy	-85.2	eV/cell
ΔE_f	0.15	eV per atom